This record from the Alexandria database describes a relaxed Na3NpCo2O6 crystal. The functional is GGA+U.

Unit cell a=5.504 b=5.504 c=5.791 alpha=98.35 beta=98.35 gamma=120.62
Atoms (fractional coordinates):
1 Na 0.000 0.000 0.000
2 Na 0.323 0.677 0.000
3 Na 0.677 0.323 0.000
4 Np 0.500 0.500 0.500
5 Co 0.170 0.830 0.500
6 Co 0.830 0.170 0.500
7 O 0.094 0.422 0.288
8 O 0.246 0.246 0.714
9 O 0.422 0.094 0.288
10 O 0.578 0.906 0.712
11 O 0.754 0.754 0.286
12 O 0.906 0.578 0.712

Computed properties:
- uncorrected energy (eV/atom) = -6.5759
- total magnetic moment (Bohr magnetons per cell) = 4.000